(1)
# AlGa2

A relaxed AlGa2 crystal (PBE, Alexandria).

```
AlGa2
1.0
0.000 3.866 3.866
3.866 0.000 3.866
3.866 3.866 0.000
Al Ga
2 4
direct
0.125 0.125 0.125
0.875 0.875 0.875
0.000 0.500 0.500
0.500 0.000 0.500
0.500 0.500 0.000
0.500 0.500 0.500
```

Values from the calculation:
Formation energy = 20.9 kJ/mol of atoms
ρ = 4.78 Mg/m³
Total moment = 0.0 μB per cell
Space-group type = No. 227



(2)
# Ce2Sc3Ga4

A relaxed Ce2Sc3Ga4 crystal (PBE, Alexandria).

```
Ce2Sc3Ga4
1.0
3.234 -7.742 0.000
3.234 7.742 0.000
0.000 0.000 8.222
Ce Sc Ga
4 6 8
direct
0.111 0.889 0.918
0.389 0.611 0.418
0.611 0.389 0.582
0.889 0.111 0.082
0.000 0.000 0.500
0.036 0.464 0.750
0.464 0.036 0.250
0.500 0.500 0.000
0.536 0.964 0.750
0.964 0.536 0.250
0.183 0.817 0.545
0.213 0.287 0.750
0.287 0.213 0.250
0.317 0.683 0.045
0.683 0.317 0.955
0.713 0.787 0.750
0.787 0.713 0.250
0.817 0.183 0.455
```

Values from the calculation:
Formation energy = -39.9 kJ/mol of atoms
ρ = 5.60 Mg/m³
Total moment = 2.7 μB per cell
Space-group type = No. 64



(3)
# HoTa4S8

A relaxed HoTa4S8 crystal (PBE, Alexandria).

```
HoTa4S8
1.0
3.403 1.965 6.574
-3.403 1.965 6.574
0.000 -3.930 6.574
Ho Ta S
1 4 8
direct
0.000 0.000 0.000
0.000 0.000 0.500
0.000 0.500 0.000
0.500 0.000 0.000
0.500 0.500 0.500
0.244 0.244 0.244
0.255 0.741 0.741
0.259 0.259 0.745
0.259 0.745 0.259
0.741 0.255 0.741
0.741 0.741 0.255
0.745 0.259 0.259
0.756 0.756 0.756
```

Values from the calculation:
Formation energy from raw total energies = -1.164 eV/atom
ρ = 7.21 Mg/m³
Total moment = 0.0 μB per cell
Space-group type = No. 166



(4)
# LaSnRu3

A relaxed LaSnRu3 crystal (PBE, Alexandria).

```
LaSnRu3
1.0
4.878 0.000 0.000
0.000 4.878 0.000
0.000 0.000 4.878
La Sn Ru
1 1 3
direct
0.000 0.000 0.000
0.500 0.500 0.500
0.000 0.000 0.500
0.000 0.500 0.000
0.500 0.000 0.000
```

Values from the calculation:
Formation energy = 154.6 kJ/mol of atoms
ρ = 8.02 Mg/m³
Total moment = 2.6 μB per cell
Space-group type = No. 221



(5)
# PmInPt

A relaxed PmInPt crystal (PBE, Alexandria).

```
PmInPt
1.0
0.000 3.394 3.394
3.394 0.000 3.394
3.394 3.394 0.000
Pm In Pt
1 1 1
direct
0.000 0.000 0.000
0.500 0.500 0.500
0.250 0.250 0.250
```

Values from the calculation:
Formation energy = -79.0 kJ/mol of atoms
ρ = 9.66 Mg/m³
ΔE to the lowest computed polymorph = 120.0 meV/atom
Total moment = 0.0 μB per cell
Space-group type = No. 216



(6)
# Nd3As2Cl

A relaxed Nd3As2Cl crystal (PBE, Alexandria).

```
Nd3As2Cl
1.0
2.151 -6.990 0.000
2.151 6.990 0.000
0.000 0.000 10.890
Nd As Cl
6 4 2
direct
0.099 0.901 0.750
0.351 0.649 0.556
0.351 0.649 0.944
0.649 0.351 0.056
0.649 0.351 0.444
0.901 0.099 0.250
0.000 0.000 0.000
0.000 0.000 0.500
0.252 0.748 0.250
0.748 0.252 0.750
0.472 0.528 0.750
0.528 0.472 0.250
```

Values from the calculation:
Formation energy from raw total energies = -1.314 eV/atom
ρ = 6.27 Mg/m³
Total moment = 1.3 μB per cell
Space-group type = No. 63



(7)
# LiMnTlS2

A relaxed LiMnTlS2 crystal (PBE, Alexandria).

```
LiMnTlS2
1.0
2.979 -6.769 0.000
2.979 6.769 0.000
0.000 0.000 5.955
Li Mn Tl S
2 2 2 4
direct
0.000 0.000 0.000
0.500 0.500 0.000
0.250 0.250 0.500
0.750 0.750 0.500
0.250 0.750 0.726
0.750 0.250 0.274
0.108 0.892 0.291
0.392 0.608 0.291
0.608 0.392 0.709
0.892 0.108 0.709
```

Values from the calculation:
Formation energy from raw total energies = -0.602 eV/atom
ρ = 4.57 Mg/m³
Total moment = 10.0 μB per cell
Space-group type = No. 67



(8)
# ScTlC3

A relaxed ScTlC3 crystal (PBE, Alexandria).

```
ScTlC3
1.0
4.325 0.000 0.000
0.000 4.325 0.000
0.000 0.000 4.325
Sc Tl C
1 1 3
direct
0.000 0.000 0.000
0.500 0.500 0.500
0.000 0.500 0.500
0.500 0.000 0.500
0.500 0.500 0.000
```

Values from the calculation:
Formation energy = 269.2 kJ/mol of atoms
ρ = 5.86 Mg/m³
ΔE to the lowest computed polymorph = 549.2 meV/atom
Total moment = 0.0 μB per cell
Space-group type = No. 221